VASP calculation (PBE) on a relaxed Pm2Hg3O6 crystal.

Cell lengths 3.8759, 6.6784, 7.5720 Å; angles 93.95, 104.83, 90.00 degrees
Atoms (fractional coordinates):
Pm 0.8662 0.9407 0.7325
Pm 0.1338 0.0593 0.2675
Hg 0.3297 0.4137 0.6595
Hg 0.6703 0.5863 0.3405
Hg 0.0000 0.5000 0.0000
O 0.9862 0.1970 0.9723
O 0.6908 0.8889 0.3815
O 0.6588 0.2834 0.3175
O 0.0138 0.8030 0.0277
O 0.3092 0.1111 0.6185
O 0.3412 0.7166 0.6825

Values from the calculation:
Raw total energy: -5.35 eV/atom

=====

VASP calculation (PBE) on a relaxed PrSm3YTm crystal.

Cell lengths 5.5290, 11.5126, 6.8445 Å; angles 82.04, 90.00, 103.89 degrees
Atoms (fractional coordinates):
Pr 0.3699 0.7398 0.9769
Pr 0.6301 0.2602 0.0231
Sm 0.8324 0.6648 0.2770
Sm 0.7739 0.5479 0.8137
Sm 0.4763 0.9525 0.2728
Sm 0.2261 0.4521 0.1863
Sm 0.5237 0.0475 0.7272
Sm 0.1676 0.3352 0.7230
Y 0.6659 0.3317 0.4676
Y 0.3341 0.6683 0.5324
Tm 0.0722 0.1444 0.3403
Tm 0.9278 0.8556 0.6597

Values from the calculation:
Calculated formation energy: 198 meV per atom

=====

VASP calculation (PBE) on a relaxed Zr2RuPb crystal.

Cell lengths 5.3200, 5.3200, 4.9392 Å; angles 62.35, 62.35, 43.16 degrees
Atoms (fractional coordinates):
Pb 0.7500 0.7500 0.7500
Ru 0.2500 0.2500 0.2500
Zr 0.9692 0.9692 0.0308
Zr 0.5308 0.5308 0.4692

Values from the calculation:
Calculated formation energy: -188 meV per atom